[1]
{"formula": "KPbSe2", "functional": "PBE-GGA", "state": "relaxed", "lattice": [[0.000, 3.804, 3.804], [3.804, 0.000, 3.804], [3.804, 3.804, 0.000]], "species": ["K", "Pb", "Se", "Se"], "fractional_positions": [[0.000, 0.000, 0.000], [0.250, 0.250, 0.250], [0.500, 0.500, 0.500], [0.750, 0.750, 0.750]], "formation_energy_uncorrected_ev_per_fu": -0.52}

=====

[2]
{"formula": "K2Si2PbSe6", "functional": "PBE-GGA", "state": "relaxed", "lattice": [[3.710, 2.142, 8.342], [-3.710, 2.142, 8.342], [0.000, -4.284, 8.342]], "species": ["K", "K", "Si", "Si", "Pb", "Se", "Se", "Se", "Se", "Se", "Se"], "fractional_positions": [[0.217, 0.217, 0.217], [0.783, 0.783, 0.783], [0.418, 0.418, 0.418], [0.582, 0.582, 0.582], [0.000, 0.000, 0.000], [0.235, 0.747, 0.747], [0.253, 0.253, 0.765], [0.253, 0.765, 0.253], [0.747, 0.235, 0.747], [0.747, 0.747, 0.235], [0.765, 0.253, 0.253]], "formation_energy_uncorrected_ev_per_fu": -6.50}

=====

[3]
{"formula": "KSmPbSe3", "functional": "PBE-GGA", "state": "relaxed", "lattice": [[9.041, 0.000, 0.000], [0.000, 4.265, 0.000], [-1.856, 0.000, 11.569]], "species": ["K", "K", "Sm", "Sm", "Pb", "Pb", "Se", "Se", "Se", "Se", "Se", "Se"], "fractional_positions": [[0.152, 0.250, 0.150], [0.848, 0.750, 0.850], [0.368, 0.750, 0.863], [0.632, 0.250, 0.137], [0.146, 0.250, 0.602], [0.854, 0.750, 0.398], [0.133, 0.250, 0.845], [0.351, 0.750, 0.610], [0.410, 0.750, 0.117], [0.590, 0.250, 0.883], [0.649, 0.250, 0.390], [0.867, 0.750, 0.155]], "formation_energy_uncorrected_ev_per_fu": -7.64}

=====

[4]
{"formula": "KSm2Pb3Se6", "functional": "PBE-GGA", "state": "relaxed", "lattice": [[9.440, -2.102, 0.000], [9.440, 2.102, 0.000], [-1.979, 0.000, 9.135]], "species": ["K", "Sm", "Sm", "Pb", "Pb", "Pb", "Se", "Se", "Se", "Se", "Se", "Se"], "fractional_positions": [[0.000, 0.000, 0.000], [0.333, 0.333, 0.667], [0.667, 0.667, 0.333], [0.000, 0.000, 0.500], [0.341, 0.341, 0.167], [0.659, 0.659, 0.833], [0.170, 0.170, 0.559], [0.179, 0.179, 0.118], [0.488, 0.488, 0.731], [0.512, 0.512, 0.269], [0.821, 0.821, 0.882], [0.830, 0.830, 0.441]], "formation_energy_uncorrected_ev_per_fu": -13.21}

=====

[5]
{"formula": "K3SnPb2Se6", "functional": "PBE-GGA", "state": "relaxed", "lattice": [[3.720, -6.446, 0.000], [3.720, 6.446, 0.000], [-2.509, 0.000, 7.738]], "species": ["K", "K", "K", "Sn", "Pb", "Pb", "Se", "Se", "Se", "Se", "Se", "Se"], "fractional_positions": [[0.000, 0.000, 0.000], [0.326, 0.674, 0.000], [0.674, 0.326, 0.000], [0.500, 0.500, 0.500], [0.166, 0.834, 0.500], [0.834, 0.166, 0.500], [0.127, 0.431, 0.292], [0.270, 0.270, 0.708], [0.431, 0.127, 0.292], [0.569, 0.873, 0.708], [0.730, 0.730, 0.292], [0.873, 0.569, 0.708]], "formation_energy_uncorrected_ev_per_fu": -8.89}

=====

[6]
{"formula": "K2SnPbSe", "functional": "PBE-GGA", "state": "relaxed", "lattice": [[6.979, 0.000, 0.000], [0.000, 6.979, 0.000], [0.000, 0.000, 5.348]], "species": ["K", "K", "Sn", "Pb", "Se"], "fractional_positions": [[0.000, 0.500, 0.000], [0.500, 0.000, 0.000], [0.000, 0.000, 0.500], [0.500, 0.500, 0.000], [0.500, 0.500, 0.500]], "formation_energy_uncorrected_ev_per_fu": 1.24}

=====

[7]
{"formula": "KSnPbSe3", "functional": "PBE-GGA", "state": "relaxed", "lattice": [[8.328, 0.000, 0.000], [0.000, 4.960, 0.000], [-2.670, 0.000, 9.675]], "species": ["K", "K", "Sn", "Sn", "Pb", "Pb", "Se", "Se", "Se", "Se", "Se", "Se"], "fractional_positions": [[0.240, 0.250, 0.249], [0.760, 0.750, 0.751], [0.156, 0.250, 0.634], [0.844, 0.750, 0.366], [0.319, 0.750, 0.900], [0.681, 0.250, 0.100], [0.059, 0.250, 0.860], [0.199, 0.750, 0.543], [0.498, 0.750, 0.191], [0.502, 0.250, 0.809], [0.801, 0.250, 0.457], [0.941, 0.750, 0.140]], "formation_energy_uncorrected_ev_per_fu": -3.79}

=====

[8]
{"formula": "KSn3Pb2Se6", "functional": "PBE-GGA", "state": "relaxed", "lattice": [[9.474, -2.138, 0.000], [9.474, 2.138, 0.000], [-1.985, 0.000, 8.615]], "species": ["K", "Sn", "Sn", "Sn", "Pb", "Pb", "Se", "Se", "Se", "Se", "Se", "Se"], "fractional_positions": [[0.000, 0.000, 0.000], [0.000, 0.000, 0.500], [0.332, 0.332, 0.164], [0.668, 0.668, 0.836], [0.334, 0.334, 0.664], [0.666, 0.666, 0.336], [0.161, 0.161, 0.593], [0.176, 0.176, 0.091], [0.495, 0.495, 0.721], [0.505, 0.505, 0.279], [0.824, 0.824, 0.909], [0.839, 0.839, 0.407]], "formation_energy_uncorrected_ev_per_fu": -6.72}

=====

[9]
{"formula": "KSnPb2Se4", "functional": "PBE-GGA", "state": "relaxed", "lattice": [[-4.326, 4.425, 6.140], [4.326, -4.425, 6.140], [4.326, 4.425, -6.140]], "species": ["K", "K", "Sn", "Sn", "Pb", "Pb", "Pb", "Pb", "Se", "Se", "Se", "Se", "Se", "Se", "Se", "Se"], "fractional_positions": [[0.500, 0.000, 0.000], [0.500, 0.500, 0.500], [0.000, 0.000, 0.000], [0.500, 0.000, 0.500], [0.000, 0.000, 0.500], [0.000, 0.500, 0.000], [0.000, 0.500, 0.500], [0.500, 0.500, 0.000], [0.231, 0.244, 0.988], [0.244, 0.756, 0.488], [0.246, 0.237, 0.491], [0.246, 0.754, 0.009], [0.754, 0.246, 0.991], [0.754, 0.763, 0.509], [0.756, 0.244, 0.512], [0.769, 0.756, 0.012]], "formation_energy_uncorrected_ev_per_fu": -4.65}

=====

[10]
{"formula": "KTaPbSe4", "functional": "PBE-GGA", "state": "relaxed", "lattice": [[7.226, 0.000, 0.000], [0.000, 7.381, 0.000], [-2.596, 0.000, 8.665]], "species": ["K", "K", "Ta", "Ta", "Pb", "Pb", "Se", "Se", "Se", "Se", "Se", "Se", "Se", "Se"], "fractional_positions": [[0.243, 0.250, 0.435], [0.757, 0.750, 0.565], [0.283, 0.750, 0.185], [0.717, 0.250, 0.815], [0.256, 0.250, 0.939], [0.744, 0.750, 0.061], [0.082, 0.750, 0.357], [0.083, 0.750, 0.922], [0.498, 0.506, 0.772], [0.498, 0.994, 0.772], [0.502, 0.006, 0.228], [0.502, 0.494, 0.228], [0.917, 0.250, 0.078], [0.918, 0.250, 0.643]], "formation_energy_uncorrected_ev_per_fu": -5.80}

=====

[11]
{"formula": "K3TaPb3Se8", "functional": "PBE-GGA", "state": "relaxed", "lattice": [[8.397, 0.000, 0.000], [-4.195, 7.289, 0.000], [-4.191, -2.415, 7.928]], "species": ["K", "K", "K", "Ta", "Pb", "Pb", "Pb", "Se", "Se", "Se", "Se", "Se", "Se", "Se", "Se"], "fractional_positions": [[0.000, 0.000, 0.000], [0.000, 0.500, 0.000], [0.500, 0.000, 0.000], [0.500, 0.000, 0.500], [0.000, 0.000, 0.500], [0.000, 0.500, 0.500], [0.500, 0.500, 0.500], [0.018, 0.259, 0.279], [0.080, 0.790, 0.309], [0.481, 0.210, 0.691], [0.481, 0.771, 0.691], [0.519, 0.229, 0.309], [0.519, 0.790, 0.309], [0.920, 0.210, 0.691], [0.982, 0.741, 0.721]], "formation_energy_uncorrected_ev_per_fu": -11.36}

=====

[12]
{"formula": "K2TaPbSe4", "functional": "PBE-GGA", "state": "relaxed", "lattice": [[-4.165, 4.165, 4.099], [4.165, -4.165, 4.099], [4.165, 4.165, -4.099]], "species": ["K", "K", "Ta", "Pb", "Se", "Se", "Se", "Se"], "fractional_positions": [[0.000, 0.000, 0.000], [0.750, 0.250, 0.500], [0.500, 0.500, 0.000], [0.250, 0.750, 0.500], [0.176, 0.155, 0.658], [0.482, 0.824, 0.979], [0.497, 0.518, 0.342], [0.845, 0.503, 0.021]], "formation_energy_uncorrected_ev_per_fu": -6.52}

=====

[13]
{"formula": "K2TaPb2Se6", "functional": "PBE-GGA", "state": "relaxed", "lattice": [[3.653, -6.178, 0.000], [3.653, 6.178, 0.000], [-2.624, 0.000, 7.723]], "species": ["K", "K", "Ta", "Pb", "Pb", "Se", "Se", "Se", "Se", "Se", "Se"], "fractional_positions": [[0.176, 0.824, 0.000], [0.824, 0.176, 0.000], [0.000, 0.000, 0.500], [0.331, 0.669, 0.500], [0.669, 0.331, 0.500], [0.074, 0.366, 0.701], [0.219, 0.219, 0.304], [0.366, 0.074, 0.701], [0.634, 0.926, 0.299], [0.781, 0.781, 0.696], [0.926, 0.634, 0.299]], "formation_energy_uncorrected_ev_per_fu": -8.63}

=====

[14]
{"formula": "K2TePbSe4", "functional": "PBE-GGA", "state": "relaxed", "lattice": [[-4.354, 4.547, 6.298], [4.354, -4.547, 6.298], [4.354, 4.547, -6.298]], "species": ["K", "K", "K", "K", "Te", "Te", "Pb", "Pb", "Se", "Se", "Se", "Se", "Se", "Se", "Se", "Se"], "fractional_positions": [[0.000, 0.000, 0.000], [0.500, 0.000, 0.000], [0.500, 0.000, 0.500], [0.500, 0.500, 0.500], [0.000, 0.000, 0.500], [0.000, 0.500, 0.000], [0.000, 0.500, 0.500], [0.500, 0.500, 0.000], [0.209, 0.747, 0.461], [0.214, 0.253, 0.961], [0.225, 0.236, 0.511], [0.225, 0.715, 0.989], [0.775, 0.285, 0.011], [0.775, 0.764, 0.489], [0.786, 0.747, 0.039], [0.791, 0.253, 0.539]], "formation_energy_uncorrected_ev_per_fu": -4.93}

=====

[15]
{"formula": "KTePbSe3", "functional": "PBE-GGA", "state": "relaxed", "lattice": [[9.046, 0.000, 0.000], [0.000, 4.607, 0.000], [-0.193, 0.000, 10.699]], "species": ["K", "K", "Te", "Te", "Pb", "Pb", "Se", "Se", "Se", "Se", "Se", "Se"], "fractional_positions": [[0.100, 0.250, 0.332], [0.900, 0.750, 0.668], [0.172, 0.250, 0.912], [0.828, 0.750, 0.088], [0.436, 0.750, 0.648], [0.564, 0.250, 0.352], [0.179, 0.250, 0.673], [0.307, 0.750, 0.965], [0.350, 0.750, 0.392], [0.650, 0.250, 0.608], [0.693, 0.250, 0.035], [0.821, 0.750, 0.327]], "formation_energy_uncorrected_ev_per_fu": -2.76}

=====

[16]
{"formula": "K2TePb2Se2", "functional": "PBE-GGA", "state": "relaxed", "lattice": [[4.645, 0.000, 0.000], [2.316, 7.623, 0.000], [0.016, 3.677, 7.934]], "species": ["K", "K", "Te", "Pb", "Pb", "Se", "Se"], "fractional_positions": [[0.031, 0.440, 0.232], [0.969, 0.560, 0.768], [0.500, 0.500, 0.500], [0.289, 0.920, 0.204], [0.711, 0.080, 0.796], [0.354, 0.793, 0.943], [0.646, 0.207, 0.057]], "formation_energy_uncorrected_ev_per_fu": -4.91}

=====

[17]
{"formula": "K3ThPb2Se6", "functional": "PBE-GGA", "state": "relaxed", "lattice": [[3.797, -6.574, 0.000], [3.797, 6.574, 0.000], [-2.531, 0.000, 7.720]], "species": ["K", "K", "K", "Th", "Pb", "Pb", "Se", "Se", "Se", "Se", "Se", "Se"], "fractional_positions": [[0.000, 0.000, 0.000], [0.328, 0.672, 0.000], [0.672, 0.328, 0.000], [0.500, 0.500, 0.500], [0.166, 0.834, 0.500], [0.834, 0.166, 0.500], [0.109, 0.429, 0.287], [0.252, 0.252, 0.714], [0.429, 0.109, 0.287], [0.571, 0.891, 0.713], [0.748, 0.748, 0.286], [0.891, 0.571, 0.713]], "formation_energy_uncorrected_ev_per_fu": -13.56}

=====

[18]
{"formula": "KTlPbSe3", "functional": "PBE-GGA", "state": "relaxed", "lattice": [[9.373, 0.000, 0.000], [0.000, 4.436, 0.000], [-2.827, 0.000, 11.159]], "species": ["K", "K", "Tl", "Tl", "Pb", "Pb", "Se", "Se", "Se", "Se", "Se", "Se"], "fractional_positions": [[0.182, 0.250, 0.164], [0.818, 0.750, 0.836], [0.082, 0.250, 0.629], [0.918, 0.750, 0.371], [0.359, 0.750, 0.875], [0.641, 0.250, 0.125], [0.094, 0.250, 0.856], [0.195, 0.750, 0.534], [0.424, 0.750, 0.128], [0.576, 0.250, 0.872], [0.805, 0.250, 0.466], [0.906, 0.750, 0.144]], "formation_energy_uncorrected_ev_per_fu": -3.38}

=====

[19]
{"formula": "KTlPbSe2", "functional": "PBE-GGA", "state": "relaxed", "lattice": [[8.573, -2.662, 0.000], [8.573, 2.662, 0.000], [-4.709, 0.000, 7.862]], "species": ["K", "K", "Tl", "Tl", "Pb", "Pb", "Se", "Se", "Se", "Se"], "fractional_positions": [[0.124, 0.124, 0.293], [0.876, 0.876, 0.707], [0.244, 0.244, 0.797], [0.756, 0.756, 0.203], [0.441, 0.441, 0.260], [0.559, 0.559, 0.740], [0.114, 0.114, 0.920], [0.360, 0.360, 0.468], [0.640, 0.640, 0.532], [0.886, 0.886, 0.080]], "formation_energy_uncorrected_ev_per_fu": -3.29}

=====

[20]
{"formula": "K2Tl2PbSe4", "functional": "PBE-GGA", "state": "relaxed", "lattice": [[8.091, -2.576, 0.000], [8.091, 2.576, 0.000], [-1.923, 0.000, 7.302]], "species": ["K", "K", "Tl", "Tl", "Pb", "Se", "Se", "Se", "Se"], "fractional_positions": [[0.129, 0.129, 0.073], [0.871, 0.871, 0.927], [0.335, 0.335, 0.445], [0.665, 0.665, 0.555], [0.000, 0.000, 0.500], [0.200, 0.200, 0.691], [0.475, 0.475, 0.747], [0.525, 0.525, 0.253], [0.800, 0.800, 0.309]], "formation_energy_uncorrected_ev_per_fu": -5.34}

=====

| no. | mass density (g/cm³) | volume (Å³ per atom) | E (eV per formula unit) |
| --- | --- | --- | --- |
| 1 | 6.10 | 27.523 | -12.3 |
| 2 | 3.40 | 36.159 | -44.2 |
| 3 | 4.72 | 37.177 | -27.6 |
| 4 | 6.57 | 30.215 | -55.8 |
| 5 | 5.03 | 30.919 | -44.5 |
| 6 | 3.08 | 52.098 | -12.1 |
| 7 | 5.00 | 33.302 | -23.1 |
| 8 | 6.10 | 29.090 | -48.2 |
| 9 | 6.27 | 29.386 | -31.1 |
| 10 | 5.34 | 33.012 | -36.4 |
| 11 | 5.31 | 32.347 | -65.5 |
| 12 | 4.57 | 35.557 | -38.2 |
| 13 | 5.47 | 31.686 | -51.0 |
| 14 | 4.85 | 31.174 | -27.9 |
| 15 | 4.55 | 37.153 | -21.2 |
| 16 | 4.60 | 40.136 | -24.6 |
| 17 | 5.33 | 32.119 | -52.6 |
| 18 | 4.92 | 38.671 | -21.0 |
| 19 | 5.63 | 35.879 | -17.4 |
| 20 | 5.51 | 33.826 | -29.9 |